DFT (PBE with a Hubbard U) results for a relaxed AcCrS2O8 crystal.

It has space group R-3 (No. 148, hexagonal axes), with a = 5.0781 Å, b = 5.0781 Å, c = 21.9469 Å, α = 90.00°, β = 90.00° and γ = 120.00°. Symmetry generates all atoms from Ac at (0.0000, 0.0000, 0.0000), Cr at (0.0000, 0.0000, 0.5000), S at (0.0000, 0.0000, 0.2561), O at (0.0000, 0.0000, 0.3257) and O at (0.0316, 0.6152, 0.4305).

For the total energy, the calculation gives -6.755 eV/atom.